(1)
Below is BaYN2F after structural relaxation, with properties calculated at the PBE level.

Unit cell a=4.657 b=4.657 c=4.616 alpha=90.00 beta=90.00 gamma=90.00
Sites, in units of the cell vectors:
Y1 0.500 0.500 0.500
N1 0.000 0.500 0.000
N2 0.500 0.000 0.000
Ba1 0.000 0.000 0.000
F1 0.000 0.000 0.500

Output
**Magnetic moment**: 0.00 μB/f.u.
**Offset from the most stable computed form**: 1.2673 eV per atom
**Calculated total energy**: -5.385 eV per atom

(2)
Below is BaYN2F after structural relaxation, with properties calculated at the PBE level.

Unit cell a=4.499 b=4.499 c=4.525 alpha=90.00 beta=90.00 gamma=90.00
Sites, in units of the cell vectors:
Y1 0.000 0.000 0.000
N1 0.000 0.500 0.000
N2 0.500 0.000 0.000
Ba1 0.500 0.500 0.500
F1 0.000 0.000 0.500

Output
**Magnetic moment**: 1.33 μB/f.u.
**Offset from the most stable computed form**: 0.0000 eV per atom
**Calculated total energy**: -6.653 eV per atom

(3)
Below is BaZnNF2 after structural relaxation, with properties calculated at the PBE level.

Unit cell a=4.418 b=4.418 c=3.922 alpha=90.00 beta=90.00 gamma=90.00
Sites, in units of the cell vectors:
Zn1 0.000 0.000 0.000
N1 0.000 0.000 0.500
Ba1 0.500 0.500 0.500
F1 0.000 0.500 0.000
F2 0.500 0.000 0.000

Output
**Magnetic moment**: 1.00 μB/f.u.
**Offset from the most stable computed form**: 0.0000 eV per atom
**Calculated total energy**: -4.739 eV per atom

(4)
Below is BaZnNF2 after structural relaxation, with properties calculated at the PBE level.

Unit cell a=4.996 b=4.996 c=6.189 alpha=90.00 beta=90.00 gamma=90.00
Sites, in units of the cell vectors:
Zn1 0.500 0.500 0.500
N1 0.000 0.000 0.500
Ba1 0.000 0.000 0.000
F1 0.000 0.500 0.000
F2 0.500 0.000 0.000

Output
**Magnetic moment**: 3.04 μB/f.u.
**Offset from the most stable computed form**: 0.8343 eV per atom
**Calculated total energy**: -3.904 eV per atom

(5)
Below is BaZnN2F after structural relaxation, with properties calculated at the PBE level.

Unit cell a=3.899 b=3.899 c=4.915 alpha=90.00 beta=90.00 gamma=90.00
Sites, in units of the cell vectors:
Zn1 0.000 0.000 0.000
N1 0.000 0.500 0.000
N2 0.500 0.000 0.000
Ba1 0.500 0.500 0.500
F1 0.000 0.000 0.500

Output
**Magnetic moment**: 0.32 μB/f.u.
**Offset from the most stable computed form**: 0.0000 eV per atom
**Calculated total energy**: -4.727 eV per atom

(6)
Below is BaZnN2F after structural relaxation, with properties calculated at the PBE level.

Unit cell a=3.810 b=6.203 c=3.810 alpha=90.00 beta=90.00 gamma=90.00
Sites, in units of the cell vectors:
Zn1 0.000 0.000 0.000
N1 0.000 0.000 0.500
N2 0.500 0.000 0.000
Ba1 0.000 0.500 0.000
F1 0.500 0.500 0.500

Output
**Magnetic moment**: 0.00 μB/f.u.
**Offset from the most stable computed form**: 0.3276 eV per atom
**Calculated total energy**: -4.399 eV per atom

(7)
Below is BaZnN2F after structural relaxation, with properties calculated at the PBE level.

Unit cell a=5.649 b=5.649 c=4.986 alpha=90.00 beta=90.00 gamma=90.00
Sites, in units of the cell vectors:
Zn1 0.500 0.500 0.500
N1 0.000 0.500 0.000
N2 0.500 0.000 0.000
Ba1 0.000 0.000 0.000
F1 0.000 0.000 0.500

Output
**Magnetic moment**: 5.00 μB/f.u.
**Offset from the most stable computed form**: 1.0084 eV per atom
**Calculated total energy**: -3.719 eV per atom

(8)
Below is Ba5ZrN4F2 after structural relaxation, with properties calculated at the PBE level.

Unit cell a=6.494 b=6.284 c=7.913 alpha=90.00 beta=90.00 gamma=121.11
Sites, in units of the cell vectors:
Ba1 0.074 0.360 0.221
Ba2 0.405 0.000 0.500
Ba3 0.074 0.360 0.779
Ba4 0.714 0.640 0.779
Ba5 0.714 0.640 0.221
Zr1 0.417 0.000 0.000
N1 0.609 0.000 0.218
N2 0.609 0.000 0.782
N3 0.385 0.320 0.000
N4 0.065 0.680 0.000
F1 0.962 0.584 0.500
F2 0.378 0.416 0.500

Output
**Magnetic moment**: 0.00 μB/f.u.
**Calculated total energy**: -6.119 eV per atom

(9)
Below is BaZrN2F after structural relaxation, with properties calculated at the PBE level.

Unit cell a=4.416 b=6.328 c=4.416 alpha=90.00 beta=90.00 gamma=90.00
Sites, in units of the cell vectors:
N1 0.000 0.000 0.500
N2 0.500 0.000 0.000
Ba1 0.000 0.000 0.000
Zr1 0.000 0.500 0.000
F1 0.500 0.500 0.500

Output
**Magnetic moment**: 2.37 μB/f.u.
**Offset from the most stable computed form**: 3.2460 eV per atom
**Calculated total energy**: -4.129 eV per atom

(10)
Below is BaZrN2F after structural relaxation, with properties calculated at the PBE level.

Unit cell a=4.650 b=4.650 c=4.591 alpha=90.00 beta=90.00 gamma=90.00
Sites, in units of the cell vectors:
N1 0.000 0.500 0.000
N2 0.500 0.000 0.000
Ba1 0.000 0.000 0.000
Zr1 0.500 0.500 0.500
F1 0.000 0.000 0.500

Output
**Magnetic moment**: 1.00 μB/f.u.
**Offset from the most stable computed form**: 2.2737 eV per atom
**Calculated total energy**: -5.101 eV per atom

(11)
Below is BaZrNF2 after structural relaxation, with properties calculated at the PBE level.

Unit cell a=4.729 b=4.729 c=5.336 alpha=90.00 beta=90.00 gamma=90.00
Sites, in units of the cell vectors:
N1 0.000 0.000 0.500
Ba1 0.000 0.000 0.000
Zr1 0.500 0.500 0.500
F1 0.000 0.500 0.000
F2 0.500 0.000 0.000

Output
**Magnetic moment**: 2.21 μB/f.u.
**Offset from the most stable computed form**: 1.6588 eV per atom
**Calculated total energy**: -5.081 eV per atom

(12)
Below is BaZrNF2 after structural relaxation, with properties calculated at the PBE level.

Unit cell a=4.466 b=4.466 c=4.313 alpha=90.00 beta=90.00 gamma=90.00
Sites, in units of the cell vectors:
N1 0.000 0.000 0.500
Ba1 0.500 0.500 0.500
Zr1 0.000 0.000 0.000
F1 0.000 0.500 0.000
F2 0.500 0.000 0.000

Output
**Magnetic moment**: 0.85 μB/f.u.
**Offset from the most stable computed form**: 0.0000 eV per atom
**Calculated total energy**: -6.740 eV per atom